[1]
11
Lattice="6.1610 0.2856 0.2167 0.4013 7.5732 0.4693 0.4013 2.4912 7.1671" Properties=species:S:1:pos:R:3 comment="PaBe2Cl8, optimized geometry, DFT PBE-GGA" e_form_raw_ev_per_atom=-1.541 dos_ef_per_ev_cell=0.32 total_energy_ev_per_cell=-48.67 pbc="T T T"
Cl 2.5998 8.4918 6.4432
Cl 1.7806 3.4827 2.6425
Cl 1.9473 4.6230 6.7214
Pa 0.0000 0.0000 0.0000
Cl 5.1830 6.8673 5.2106
Cl 4.3638 1.8582 1.4099
Cl 5.0164 5.7270 1.1318
Cl 5.0164 2.6321 5.2108
Be 2.2458 2.0226 1.5347
Be 4.7178 8.3274 6.3185
Cl 1.9473 7.7179 2.6424



[2]
5
Lattice="5.0058 0.0000 0.0000 0.0000 5.0058 0.0000 0.0000 0.0000 5.0058" Properties=species:S:1:pos:R:3 comment="Mg3SnPt, optimized geometry, DFT PBE-GGA" formation_enthalpy_0k_ev_per_atom=-0.25 dos_ef_per_ev_cell=2.33 total_energy_ev_per_cell=-16.06 pbc="T T T"
Pt 0.0000 0.0000 0.0000
Mg 0.0000 0.0000 2.5029
Sn 2.5029 2.5029 2.5029
Mg 0.0000 2.5029 0.0000
Mg 2.5029 0.0000 0.0000



[3]
5
Lattice="4.9313 0.0000 0.0000 0.0000 4.9313 0.0000 0.0000 0.0000 4.9313" Properties=species:S:1:pos:R:3 comment="SrRe3Pb, optimized geometry, DFT PBE-GGA" formation_enthalpy_0k_ev_per_atom=3.51 dos_ef_per_ev_cell=6.67 total_energy_ev_per_cell=-25.18 pbc="T T T"
Re 0.0000 0.0000 2.4657
Re 0.0000 2.4657 0.0000
Sr 0.0000 0.0000 0.0000
Pb 2.4657 2.4657 2.4657
Re 2.4657 0.0000 0.0000



[4]
4
Lattice="4.0164 -1.6556 2.9024 2.2021 3.2091 3.4855 -0.6492 -0.8551 5.1131" Properties=species:S:1:pos:R:3 comment="InBiSe2, optimized geometry, DFT PBE-GGA" e_form_raw_ev_per_atom=-0.128 dos_ef_per_ev_cell=2.38 total_energy_ev_per_cell=-14.10 pbc="T T T"
Bi 2.7847 0.3492 5.7505
Se 1.3923 0.1746 2.8753
Se 4.1770 0.5238 8.6258
In 0.0000 0.0000 0.0000



[5]
5
Lattice="-3.4144 1.3984 1.0909 -0.4405 -2.9611 2.4170 1.7991 2.1153 2.9195" Properties=species:S:1:pos:R:3 comment="ReHOsRh2, optimized geometry, DFT PBE-GGA" dos_ef_per_ev_cell=3.77 total_energy_ev_per_cell=-41.07 pbc="T T T"
H 0.0000 0.0000 0.0000
Rh -0.2203 -1.4806 1.2085
Os -1.0279 0.2763 3.2137
Re 0.8996 1.0577 1.4597
Rh -1.7072 0.6992 0.5455



[6]
4
Lattice="4.3340 0.0000 0.0000 2.1670 3.7533 0.0000 2.1670 1.2511 7.5456" Properties=species:S:1:pos:R:3 comment="Tb2HgBi, optimized geometry, DFT PBE-GGA" formation_enthalpy_0k_ev_per_atom=-0.54 dos_ef_per_ev_cell=3.72 total_energy_ev_per_cell=-15.59 pbc="T T T"
Hg 0.0000 0.0000 0.0000
Bi 4.3340 2.5022 3.7728
Tb 6.5009 3.7533 5.6487
Tb 2.1670 1.2511 1.8969



[7]
4
Lattice="4.1344 0.0000 0.0000 0.0000 4.1378 0.0000 0.0000 0.0000 6.1549" Properties=species:S:1:pos:R:3 comment="Ca2ReSe, optimized geometry, DFT PBE-GGA" e_form_raw_ev_per_atom=0.243 dos_ef_per_ev_cell=1.61 total_energy_ev_per_cell=-18.97 pbc="T T T"
Ca 2.0672 2.0689 1.9297
Re 0.0000 0.0000 2.6950
Ca 0.0000 0.0000 5.7290
Se 2.0672 2.0689 5.0335



[8]
4
Lattice="2.7608 0.0344 0.0000 -0.0334 2.7608 0.0000 0.0000 0.0000 7.6195" Properties=species:S:1:pos:R:3 comment="MgCu2W, optimized geometry, DFT PBE-GGA" formation_enthalpy_0k_ev_per_atom=0.17 dos_ef_per_ev_cell=1.83 total_energy_ev_per_cell=-22.07 pbc="T T T"
Cu 0.0000 0.0000 7.5915
W 1.3637 1.3976 5.7146
Mg 1.3637 1.3976 1.9049
Cu 0.0000 0.0000 3.8377



[9]
18
Lattice="-7.1755 -2.7917 -0.1990 1.8897 -6.3585 3.9139 -1.8681 3.0945 6.8011" Properties=species:S:1:pos:R:3 comment="Ac2ScCd12Ag3, optimized geometry, DFT PBE-GGA" formation_enthalpy_0k_ev_per_atom=-0.01 dos_ef_per_ev_cell=11.59 total_energy_ev_per_cell=-34.20 pbc="T T T"
Cd -4.7449 -0.8874 4.3437
Ag -3.5877 -1.3958 -0.0995
Cd -2.4090 -5.1683 6.1724
Cd -1.1805 -2.2899 5.9609
Cd -4.7478 -6.4869 4.8388
Cd -5.2075 -2.6756 1.9825
Cd -5.9734 -3.7659 4.5552
Ag 0.9448 -3.1793 1.9570
Cd -3.8866 -1.4514 7.3076
Ag -0.9341 1.5472 3.4005
Cd -0.4227 -4.5583 4.1534
Sc 0.0000 0.0000 0.0000
Cd -2.4061 0.4312 5.6773
Ac -1.7862 -1.5120 2.6257
Cd -6.7312 -1.4975 6.3627
Cd -1.9464 -3.3801 8.5335
Cd -3.2673 -4.6043 3.2084
Ac -5.3677 -4.5437 7.8903



[10]
12
Lattice="5.4489 0.0000 0.0000 2.7244 4.7189 0.0000 2.7244 1.5730 8.8437" Properties=species:S:1:pos:R:3 comment="Nd2AgPt9, optimized geometry, DFT PBE-GGA" formation_enthalpy_0k_ev_per_atom=-0.58 dos_ef_per_ev_cell=9.01 total_energy_ev_per_cell=-73.70 pbc="T T T"
Pt 5.4489 3.1459 4.4219
Pt 2.7244 1.5730 0.0231
Nd 8.1733 4.7189 3.5802
Pt 6.8272 2.3501 2.2312
Pt 8.1733 4.7189 8.8206
Pt 5.4489 1.5543 6.6126
Pt 6.8272 3.9417 6.6126
Nd 2.7244 1.5730 5.2635
Pt 4.0705 3.9417 6.6126
Pt 5.4489 4.7375 2.2312
Pt 4.0705 2.3501 2.2312
Ag 0.0000 0.0000 0.0000



[11]
6
Lattice="-1.9265 -3.3296 -1.1761 7.2995 -7.2443 -1.8985 0.5805 -0.0750 2.8460" Properties=species:S:1:pos:R:3 comment="NaFeP, optimized geometry, DFT PBE-GGA" formation_enthalpy_0k_ev_per_atom=-0.25 dos_ef_per_ev_cell=2.73 total_energy_ev_per_cell=-31.91 pbc="T T T"
Na 3.4024 -7.4607 0.0197
P 6.3983 -6.3652 -0.5637
Fe -0.6810 -2.8115 1.1946
Fe 5.6412 -7.8833 -1.9321
P 0.2548 -1.6368 -0.4484
Na 1.1422 -4.4682 -0.7033



[12]
5
Lattice="-3.3323 -1.4855 1.2051 1.7001 -3.6409 0.2132 1.0117 0.6857 3.6428" Properties=species:S:1:pos:R:3 comment="BeV2PN, optimized geometry, DFT PBE-GGA" e_form_raw_ev_per_atom=0.142 dos_ef_per_ev_cell=2.88 total_energy_ev_per_cell=-34.99 pbc="T T T"
Be -0.3103 -2.2204 2.5305
V 0.5058 0.3428 1.8214
P 0.8501 -1.8204 0.1066
V -1.6662 -0.7428 0.6025
N 0.0000 0.0000 0.0000



[13]
11
Lattice="-5.1033 -2.7097 -2.4713 1.5057 -5.1291 5.7145 -3.2381 6.6218 2.6262" Properties=species:S:1:pos:R:3 comment="Nd8GePt2, optimized geometry, DFT PBE-GGA" formation_enthalpy_0k_ev_per_atom=-0.47 dos_ef_per_ev_cell=12.50 total_energy_ev_per_cell=-60.00 pbc="T T T"
Nd -5.2445 -1.2137 3.4378
Pt -2.5424 -2.7701 3.5354
Nd -2.7200 -2.7899 0.6580
Pt -4.2940 1.5689 2.3951
Ge -0.8356 -0.4162 -0.3000
Nd -4.5540 -5.1438 2.5917
Nd -1.5805 0.0642 2.6720
Nd -2.6033 -1.3553 6.1160
Nd -7.1665 1.3275 0.8909
Nd -3.9421 0.2372 -0.1375
Nd -3.8561 1.7480 5.3005



[14]
11
Lattice="3.0889 -0.1479 -1.0049 -1.2343 8.9945 -4.7705 -0.2195 -2.3605 9.9167" Properties=species:S:1:pos:R:3 comment="Li4In3Hg4, optimized geometry, DFT PBE-GGA" formation_enthalpy_0k_ev_per_atom=-0.26 dos_ef_per_ev_cell=3.30 total_energy_ev_per_cell=-19.94 pbc="T T T"
In 0.4546 0.7578 1.3342
Li 1.8094 5.8636 -0.3775
Hg -0.2692 7.3795 -1.6908
Li -0.1743 0.6225 4.5188
Hg 1.3221 2.7840 3.5444
In 1.1805 5.7282 2.8071
Hg 1.9043 -0.8935 5.8321
Li 1.3172 1.8697 -1.3945
Li 0.3179 4.6164 5.5358
Hg 0.3130 3.7020 0.5969
In -0.6172 4.4972 -2.3852



[15]
4
Lattice="4.9650 -0.0203 0.0000 1.1626 4.8270 0.0000 -3.0638 -2.4033 3.0804" Properties=species:S:1:pos:R:3 comment="Cd2TcAu, optimized geometry, DFT PBE-GGA" formation_enthalpy_0k_ev_per_atom=0.36 dos_ef_per_ev_cell=4.32 total_energy_ev_per_cell=-14.02 pbc="T T T"
Tc 0.5813 2.4135 1.5402
Au 2.4825 -0.0102 1.5402
Cd 3.0638 2.4033 0.0000
Cd 0.0000 0.0000 0.0000



[16]
10
Lattice="8.5274 0.0000 0.0000 0.0000 8.5274 0.0000 0.0000 0.0000 3.5599" Properties=species:S:1:pos:R:3 comment="RbSi2Hg2, optimized geometry, DFT PBE-GGA" e_form_raw_ev_per_atom=0.379 dos_ef_per_ev_cell=2.97 total_energy_ev_per_cell=-21.05 pbc="T T T"
Rb 4.2637 4.2637 0.0000
Hg 1.4902 5.7539 1.7799
Rb 0.0000 0.0000 0.0000
Hg 5.7539 7.0372 1.7799
Hg 2.7735 1.4902 1.7799
Si 7.6572 5.1338 0.0000
Si 0.8701 3.3935 0.0000
Hg 7.0372 2.7735 1.7799
Si 5.1338 0.8701 0.0000
Si 3.3935 7.6572 0.0000



[17]
20
Lattice="10.0412 0.0000 -3.5501 -5.0206 8.6959 -3.5501 0.0000 0.0000 10.6503" Properties=species:S:1:pos:R:3 comment="Ac12LaPr7, optimized geometry, DFT PBE-GGA" formation_enthalpy_0k_ev_per_atom=0.59 dos_ef_per_ev_cell=32.54 total_energy_ev_per_cell=-75.93 pbc="T T T"
Ac 7.4923 0.6435 0.0546
Pr 0.0000 0.0000 5.3252
La 0.0000 0.0000 0.0000
Pr 2.5103 4.3480 -3.5501
Ac 3.1889 6.8103 -0.0546
Pr -2.5103 4.3480 3.5501
Ac 1.3830 6.1668 4.0755
Pr 2.5103 4.3480 1.7751
Pr -2.5103 4.3480 -1.7751
Pr 5.0206 0.0000 3.5501
Pr 5.0206 0.0000 -1.7751
Ac -1.0115 6.8103 -3.0247
Ac 1.8317 1.8856 3.6047
Ac 5.3921 4.2812 3.0247
Ac -0.7172 2.5291 7.0457
Ac -0.3715 4.4148 0.5254
Ac 6.0321 1.8856 6.5748
Ac -2.4717 8.0524 3.4955
Ac 3.6376 2.5291 -0.5254
Ac 5.7378 6.1668 -3.4955



[18]
6
Lattice="5.4513 0.0000 0.0000 2.7256 4.7210 0.0000 2.7256 1.5737 4.4510" Properties=species:S:1:pos:R:3 comment="LaScPd4, optimized geometry, DFT PBE-GGA" formation_enthalpy_0k_ev_per_atom=-0.72 dos_ef_per_ev_cell=2.34 total_energy_ev_per_cell=-36.32 pbc="T T T"
La 2.7256 1.5737 1.1127
Pd 5.4513 1.5654 2.7848
Pd 6.8213 3.9383 2.7848
Sc 0.0000 0.0000 0.0000
Pd 5.4513 3.1473 0.5476
Pd 4.0813 3.9383 2.7848



[19]
10
Lattice="4.3802 0.0000 0.0000 2.1901 4.6849 0.0000 2.1901 0.0000 4.6849" Properties=species:S:1:pos:R:3 comment="HfTi4H5, optimized geometry, DFT PBE-GGA" dos_ef_per_ev_cell=8.99 total_energy_ev_per_cell=-61.35 pbc="T T T"
Ti 4.3847 1.8584 3.7075
H 2.1946 0.0000 0.0000
Ti 6.5748 3.7075 2.8265
Ti 4.3847 2.8265 0.9774
H 4.3848 3.7127 2.7850
H 6.5749 1.8999 3.7127
Hf 0.0045 0.0000 0.0000
Ti 2.1946 0.9774 1.8584
H 4.3848 0.9722 1.8999
H 2.1947 2.7850 0.9722



[20]
20
Lattice="-1.4702 1.5812 -8.3972 1.5235 -8.4979 0.8001 -7.3431 1.7216 4.2768" Properties=species:S:1:pos:R:3 comment="Ce12ScRu7, optimized geometry, DFT PBE-GGA" formation_enthalpy_0k_ev_per_atom=-0.19 dos_ef_per_ev_cell=54.25 total_energy_ev_per_cell=-146.20 pbc="T T T"
Ru -0.4024 -2.7619 0.7172
Ru -0.4164 -0.4883 -2.8094
Ce -5.2316 0.8703 1.0220
Ce -4.2748 -3.0189 -4.3191
Ce -0.9613 -3.0422 -2.1550
Ru -6.8873 -2.4332 -4.0376
Ce -6.0606 -4.4277 1.8827
Ru -2.7560 0.7026 0.4639
Ce -6.3284 -2.1528 -1.1654
Ce -1.2291 -0.7674 -5.2031
Ru -4.5337 -5.8977 -3.7843
Ru -6.8733 -4.7068 -0.5110
Ce -2.0581 -6.0654 -4.3424
Ru -3.6449 -2.5975 -1.6602
Sc 0.0000 0.0000 0.0000
Ce -0.7901 -5.2703 0.8784
Ce -6.4996 0.0752 -4.1988
Ce -3.2134 0.0947 -2.1185
Ce -4.0763 -5.2897 -1.2019
Ce -3.0150 -2.1762 0.9987



[21]
6
Lattice="-2.8346 -1.4044 0.3550 1.0324 -0.8050 6.7328 -2.3205 5.6515 4.1514" Properties=species:S:1:pos:R:3 comment="HgTeRu, optimized geometry, DFT PBE-GGA" e_form_raw_ev_per_atom=0.071 dos_ef_per_ev_cell=3.58 total_energy_ev_per_cell=-25.01 pbc="T T T"
Ru -0.0634 0.8594 3.7262
Ru -4.0593 2.5826 7.5131
Te -1.2308 -0.8384 1.9785
Hg -1.1602 2.8257 2.0757
Hg -2.0613 1.7210 5.6196
Te -2.8918 4.2805 9.2608



[22]
5
Lattice="-2.7356 3.6166 -1.3895 -1.3845 -2.2870 -3.2267 -3.5433 -1.6475 2.6880" Properties=species:S:1:pos:R:3 comment="SiNiAs2Pd, optimized geometry, DFT PBE-GGA" e_form_raw_ev_per_atom=0.613 dos_ef_per_ev_cell=2.23 total_energy_ev_per_cell=-22.63 pbc="T T T"
Ni -0.6922 -1.1435 -1.6134
Pd -3.8317 -0.1589 -0.9641
Si 0.0000 0.0000 0.0000
As -1.3678 1.8083 -0.6947
As -1.7716 -0.8237 1.3440



[23]
4
Lattice="-9.0864 -2.6459 1.0632 -8.0082 -2.7563 4.3549 -9.0447 0.2471 2.9708" Properties=species:S:1:pos:R:3 comment="Mg2InSb, optimized geometry, DFT PBE-GGA" e_form_raw_ev_per_atom=-0.117 dos_ef_per_ev_cell=0.92 total_energy_ev_per_cell=-10.52 pbc="T T T"
Sb -6.5349 -1.2888 2.0972
In -19.6046 -3.8663 6.2917
Mg -13.0009 -2.5640 4.1724
Mg -0.0688 -0.0136 0.0221



[24]
7
Lattice="-2.4527 -3.2660 -1.0260 2.4877 -0.8333 -3.2943 3.6784 -1.9180 5.9549" Properties=species:S:1:pos:R:3 comment="BaSrZrO4, optimized geometry, DFT PBE-GGA" e_form_raw_ev_per_atom=-3.036 dos_ef_per_ev_cell=0.00 total_energy_ev_per_cell=-53.24 pbc="T T T"
Ba 1.1206 -3.2338 -1.0276
Zr 3.7085 -6.0120 1.6295
O 2.5339 -4.7511 0.4235
O 4.9091 -4.3514 2.1161
O 1.2129 -1.3021 1.2454
Sr 2.6259 -2.8190 2.6961
O 2.4388 -5.5677 3.2502